Computed, not measured: a relaxed structure of CsMnHgF6 at the GGA+U level of DFT.

Computed properties:
Calculated volume in Å³/cell: 317.5
E_tot in eV/atom: -4.45

Cell lengths 8.0339, 7.5911, 7.5928 Å; angles 119.99, 121.94, 90.00 degrees
With the nearest neighbours (Å) after each atom.
Fractional positions:
Hg: 0.5000 0.0000 0.0000  2 F 2.20
Hg: 0.5000 0.5000 0.0000  2 F 2.20
F: 0.6542 0.9500 0.7539  1 Mn 1.90
F: 0.3923 0.6423 0.7847  2 Hg 2.20
F: 0.6828 0.9328 0.3657  2 Mn 2.13
F: 0.3458 0.0500 0.2461  1 Mn 1.90
F: 0.9003 0.0500 0.2461  1 Mn 1.90
F: 0.6542 0.3040 0.7539  1 Mn 1.90
F: 0.6077 0.3577 0.2153  2 Hg 2.20
F: 0.9003 0.6960 0.2461  1 Mn 1.90
F: 0.0997 0.9500 0.7539  1 Mn 1.90
F: 0.0997 0.3040 0.7539  1 Mn 1.90
F: 0.3172 0.0672 0.6343  2 Mn 2.13
F: 0.3458 0.6960 0.2461  1 Mn 1.90
Cs: 0.9022 0.6522 0.8043  9 F 3.05-3.21
Cs: 0.0978 0.3478 0.1957  9 F 3.05-3.21
Mn: 0.5000 0.0000 0.5000  4 F 1.90
Mn: 0.0000 0.0000 0.5000  4 F 1.90